[1]
## RbRePd (PBE)

Data for a relaxed RbRePd crystal.

Geometry as POSCAR:
```
RbRePd
1.0
3.7118 0.0000 0.0000
0.0000 3.7118 0.0000
0.0000 0.0000 12.4878
Rb Re Pd
2 2 2
Direct
0.2500 0.2500 0.1770
0.7500 0.7500 0.8230
0.2500 0.7500 0.5000
0.7500 0.2500 0.5000
0.2500 0.2500 0.6562
0.7500 0.7500 0.3438
```

- symmetry = P4/nmm
- energy of formation from the pure elements (eV per formula unit) = 1.85
- DOS at the Fermi energy (states/eV/cell) = 6.1
- volume (Å³/cell) = 172.0
- E_tot (eV/atom) = -5.5850
- distance to the lowest polymorph of the same formula (eV/f.u.) = 0.79

[2]
## RbRePd (PBE)

Data for a relaxed RbRePd crystal.

Geometry as POSCAR:
```
RbRePd
1.0
4.2812 0.0000 0.0000
2.1398 3.7085 0.0000
2.0938 -1.1417 12.0062
Rb Re Pd
2 2 2
Direct
0.0000 0.0000 0.0000
0.3908 0.8136 0.3913
0.1949 0.9051 0.6957
0.5283 0.2384 0.6957
0.7869 0.6077 0.8119
0.9363 0.5361 0.5795
```

- symmetry = P1
- energy of formation from the pure elements (eV per formula unit) = 1.07
- DOS at the Fermi energy (states/eV/cell) = 5.4
- volume (Å³/cell) = 190.6
- E_tot (eV/atom) = -5.8451
- distance to the lowest polymorph of the same formula (eV/f.u.) = 0.01

[3]
## RbRePd (PBE)

Data for a relaxed RbRePd crystal.

Geometry as POSCAR:
```
RbRePd
1.0
13.4265 0.0000 0.0000
0.0000 3.1117 0.0000
-2.3873 0.0000 7.4817
Rb Re Pd
4 4 4
Direct
0.0000 0.0000 0.0000
0.0000 0.0000 0.5000
0.5000 0.5000 0.0000
0.5000 0.5000 0.5000
0.2277 0.5000 0.3818
0.2723 0.0000 0.6182
0.7277 0.0000 0.3818
0.7723 0.5000 0.6182
0.2166 0.5000 0.8487
0.2834 0.0000 0.1513
0.7166 0.0000 0.8487
0.7834 0.5000 0.1513
```

- symmetry = C2/m
- energy of formation from the pure elements (eV per formula unit) = 1.94
- DOS at the Fermi energy (states/eV/cell) = 10.0
- volume (Å³/cell) = 312.6
- E_tot (eV/atom) = -5.5555
- distance to the lowest polymorph of the same formula (eV/f.u.) = 0.88

[4]
## RbRePd (PBE)

Data for a relaxed RbRePd crystal.

Geometry as POSCAR:
```
RbRePd
1.0
7.4158 0.0000 0.0000
0.0000 4.2835 0.0000
-2.1075 0.0000 11.9881
Rb Re Pd
4 4 4
Direct
0.2479 0.0000 0.1961
0.2521 0.5000 0.8039
0.7479 0.5000 0.1961
0.7521 0.0000 0.8039
0.1662 0.5000 0.4983
0.3338 0.0000 0.5017
0.6662 0.0000 0.4983
0.8338 0.5000 0.5017
0.0330 0.0000 0.6163
0.4670 0.5000 0.3837
0.5330 0.5000 0.6163
0.9670 0.0000 0.3837
```

- symmetry = C2/m
- energy of formation from the pure elements (eV per formula unit) = 1.07
- DOS at the Fermi energy (states/eV/cell) = 7.4
- volume (Å³/cell) = 380.8
- E_tot (eV/atom) = -5.8460
- distance to the lowest polymorph of the same formula (eV/f.u.) = 0.00

[5]
## Rb2Re2Pd (PBE)

Data for a relaxed Rb2Re2Pd crystal.

Geometry as POSCAR:
```
Rb2Re2Pd
1.0
3.5116 0.0000 0.0000
0.0000 3.5116 0.0000
0.0000 0.0000 22.9153
Rb Re Pd
4 4 2
Direct
0.0000 0.0000 0.1043
0.0000 0.0000 0.8957
0.5000 0.5000 0.3957
0.5000 0.5000 0.6043
0.0000 0.5000 0.2500
0.0000 0.5000 0.7500
0.5000 0.0000 0.2500
0.5000 0.0000 0.7500
0.0000 0.0000 0.5000
0.5000 0.5000 0.0000
```

- symmetry = I4/mmm
- energy of formation from the pure elements (eV per formula unit) = 4.58
- DOS at the Fermi energy (states/eV/cell) = 5.5
- volume (Å³/cell) = 282.6
- E_tot (eV/atom) = -5.4892
- distance to the lowest polymorph of the same formula (eV/f.u.) = 0.00

[6]
## RbRePd (PBE)

Data for a relaxed RbRePd crystal.

Geometry as POSCAR:
```
RbRePd
1.0
3.5338 0.0000 0.0000
0.0119 4.6523 0.0000
0.2346 1.2010 11.5395
Rb Re Pd
2 2 2
Direct
0.2294 0.3055 0.3081
0.7706 0.6945 0.6919
0.2503 0.6716 0.9874
0.7497 0.3284 0.0126
0.2607 0.1568 0.8606
0.7393 0.8432 0.1394
```

- symmetry = P-1
- energy of formation from the pure elements (eV per formula unit) = 1.57
- DOS at the Fermi energy (states/eV/cell) = 4.4
- volume (Å³/cell) = 189.7
- E_tot (eV/atom) = -5.6800
- distance to the lowest polymorph of the same formula (eV/f.u.) = 0.50

[7]
## RbRePd2 (PBE)

Data for a relaxed RbRePd2 crystal.

Geometry as POSCAR:
```
RbRePd2
1.0
6.8774 0.0000 0.0000
0.0000 6.8774 0.0000
0.0000 0.0000 6.8774
Rb Re Pd
4 4 8
Direct
0.0000 0.0000 0.0000
0.0000 0.5000 0.5000
0.5000 0.0000 0.5000
0.5000 0.5000 0.0000
0.0000 0.0000 0.5000
0.0000 0.5000 0.0000
0.5000 0.0000 0.0000
0.5000 0.5000 0.5000
0.2500 0.2500 0.2500
0.2500 0.2500 0.7500
0.2500 0.7500 0.2500
0.2500 0.7500 0.7500
0.7500 0.2500 0.2500
0.7500 0.2500 0.7500
0.7500 0.7500 0.2500
0.7500 0.7500 0.7500
```

- symmetry = Fm-3m
- energy of formation from the pure elements (eV per formula unit) = 5.05
- DOS at the Fermi energy (states/eV/cell) = 5.8
- volume (Å³/cell) = 325.3
- E_tot (eV/atom) = -4.6871
- distance to the lowest polymorph of the same formula (eV/f.u.) = 0.52

[8]
## RbRePd (PBE)

Data for a relaxed RbRePd crystal.

Geometry as POSCAR:
```
RbRePd
1.0
7.4195 0.0000 0.0000
0.0000 4.2840 0.0000
-0.2441 0.0000 11.9612
Rb Re Pd
4 4 4
Direct
0.1769 0.0000 0.3045
0.3231 0.5000 0.6955
0.6769 0.5000 0.3045
0.8231 0.0000 0.6955
0.1666 0.0000 0.9982
0.3334 0.5000 0.0018
0.6666 0.5000 0.9982
0.8334 0.0000 0.0018
0.0038 0.5000 0.1165
0.4962 0.0000 0.8835
0.5038 0.0000 0.1165
0.9962 0.5000 0.8835
```

- symmetry = C2/m
- energy of formation from the pure elements (eV per formula unit) = 1.07
- DOS at the Fermi energy (states/eV/cell) = 5.6
- volume (Å³/cell) = 380.2
- E_tot (eV/atom) = -5.8473
- distance to the lowest polymorph of the same formula (eV/f.u.) = 0.00